{"formula": "Ba2NbIrN", "functional": "PBE-GGA", "state": "relaxed", "space_group": "No. 123", "e_tot_ev_per_atom": -6.035, "dos_at_fermi_per_ev_atom": 0.868, "raw_formation_energy_ev_per_atom": 0.18, "cell": [[-3.2636, 0.5966, -4.5432], [1.1131, -3.7426, -1.2911], [-4.3218, -2.2543, 2.8085]], "species": ["Nb", "Ir", "Ba", "Ba", "N"], "fractional_positions": [[0.0000, 0.5000, 0.0000], [0.5000, 0.5000, 0.5000], [0.0000, 0.0000, 0.5000], [0.5000, 0.0000, 0.0000], [0.0000, 0.0000, 0.0000]]}

---

{"formula": "BaPa2IrN5", "functional": "PBE-GGA", "state": "relaxed", "space_group": "No. 140", "e_tot_ev_per_atom": -8.942, "dos_at_fermi_per_ev_atom": 0.079, "raw_formation_energy_ev_per_atom": -1.01, "cell": [[6.6706, 0.0000, 0.0000], [0.0000, 6.6706, 0.0000], [-3.3353, -3.3353, 6.0122]], "species": ["Ba", "Ba", "Pa", "Pa", "Pa", "Pa", "Ir", "Ir", "N", "N", "N", "N", "N", "N", "N", "N", "N", "N"], "fractional_positions": [[0.2500, 0.2500, 0.5000], [0.7500, 0.7500, 0.5000], [0.1827, 0.3173, 0.0000], [0.6827, 0.1827, 0.0000], [0.3173, 0.8173, 0.0000], [0.8173, 0.6827, 0.0000], [0.2500, 0.7500, 0.5000], [0.7500, 0.2500, 0.5000], [0.9885, 0.4885, 0.2402], [0.7483, 0.2483, 0.7598], [0.0115, 0.5115, 0.7598], [0.2483, 0.0115, 0.7598], [0.5115, 0.7483, 0.7598], [0.7517, 0.9885, 0.2402], [0.4885, 0.2517, 0.2402], [0.2517, 0.7517, 0.2402], [0.5000, 0.5000, 0.0000], [0.0000, 0.0000, 0.0000]]}

---

{"formula": "BaPaIrN3", "functional": "PBE-GGA", "state": "relaxed", "space_group": "No. 11", "e_tot_ev_per_atom": -8.239, "dos_at_fermi_per_ev_atom": 0.414, "raw_formation_energy_ev_per_atom": -0.70, "cell": [[3.5321, 0.0000, 0.0000], [0.0000, 7.7790, 0.3370], [0.0000, -1.7235, 8.0536]], "species": ["Ba", "Ba", "Pa", "Pa", "Ir", "Ir", "N", "N", "N", "N", "N", "N"], "fractional_positions": [[0.2500, 0.1665, 0.2006], [0.7500, 0.8335, 0.7994], [0.2500, 0.6457, 0.1565], [0.7500, 0.3543, 0.8435], [0.2500, 0.1135, 0.5923], [0.7500, 0.8865, 0.4077], [0.7500, 0.8409, 0.1449], [0.2500, 0.1591, 0.8551], [0.2500, 0.7756, 0.4355], [0.7500, 0.2244, 0.5645], [0.7500, 0.4454, 0.1209], [0.2500, 0.5546, 0.8791]]}

---

{"formula": "BaPa2IrN4", "functional": "PBE-GGA", "state": "relaxed", "space_group": "No. 121", "e_tot_ev_per_atom": -8.531, "dos_at_fermi_per_ev_atom": 0.487, "raw_formation_energy_ev_per_atom": -0.65, "cell": [[5.9240, -0.1960, -0.2825], [-3.0242, 5.0977, 0.2825], [-3.0242, -1.5195, 4.8741]], "species": ["Ba", "Pa", "Pa", "Ir", "N", "N", "N", "N"], "fractional_positions": [[0.0000, 0.0000, 0.0000], [0.5000, 0.7500, 0.2500], [0.5000, 0.2500, 0.7500], [0.0000, 0.5000, 0.5000], [0.0000, 0.1450, 0.4980], [0.6470, 0.5020, 0.5020], [0.3530, 0.8550, 0.8550], [0.0000, 0.4980, 0.1450]]}

---

{"formula": "Ba2IrPbN", "functional": "PBE-GGA", "state": "relaxed", "space_group": "No. 123", "e_tot_ev_per_atom": -5.207, "dos_at_fermi_per_ev_atom": 0.697, "raw_formation_energy_ev_per_atom": -0.26, "cell": [[6.4850, 0.0000, 0.0000], [0.0000, 6.4850, 0.0000], [0.0000, 0.0000, 3.7396]], "species": ["Pb", "Ir", "Ba", "Ba", "N"], "fractional_positions": [[0.5000, 0.5000, 0.5000], [0.0000, 0.0000, 0.0000], [0.0000, 0.5000, 0.0000], [0.5000, 0.0000, 0.0000], [0.0000, 0.0000, 0.5000]]}

---

{"formula": "Ba2IrPbN", "functional": "PBE-GGA", "state": "relaxed", "space_group": "No. 123", "e_tot_ev_per_atom": -5.398, "dos_at_fermi_per_ev_atom": 0.617, "raw_formation_energy_ev_per_atom": -0.45, "cell": [[6.1286, 0.0000, 0.0000], [0.0000, 6.1286, 0.0000], [0.0000, 0.0000, 3.7826]], "species": ["Pb", "Ir", "Ba", "Ba", "N"], "fractional_positions": [[0.5000, 0.5000, 0.5000], [0.0000, 0.0000, 0.5000], [0.0000, 0.5000, 0.0000], [0.5000, 0.0000, 0.0000], [0.0000, 0.0000, 0.0000]]}

---

{"formula": "Ba2IrPtN", "functional": "PBE-GGA", "state": "relaxed", "space_group": "No. 123", "e_tot_ev_per_atom": -5.951, "dos_at_fermi_per_ev_atom": 0.800, "raw_formation_energy_ev_per_atom": -0.54, "cell": [[-0.2176, -1.0308, -5.6973], [4.2279, -3.9235, 0.5484], [-2.5731, -2.6910, 0.5852]], "species": ["Ir", "Ba", "Ba", "Pt", "N"], "fractional_positions": [[0.0000, 0.0000, 0.5000], [0.0000, 0.5000, 0.0000], [0.5000, 0.0000, 0.0000], [0.5000, 0.5000, 0.5000], [0.0000, 0.0000, 0.0000]]}

---

{"formula": "Ba2IrRhN", "functional": "PBE-GGA", "state": "relaxed", "space_group": "No. 123", "e_tot_ev_per_atom": -5.872, "dos_at_fermi_per_ev_atom": 0.864, "raw_formation_energy_ev_per_atom": -0.20, "cell": [[-2.0579, 0.4245, 5.4143], [-0.8285, -5.7467, 0.1356], [3.4522, -0.4659, 1.3487]], "species": ["Ir", "Rh", "Ba", "Ba", "N"], "fractional_positions": [[0.0000, 0.0000, 0.5000], [0.5000, 0.5000, 0.5000], [0.0000, 0.5000, 0.0000], [0.5000, 0.0000, 0.0000], [0.0000, 0.0000, 0.0000]]}

---

{"formula": "BaIrS2N", "functional": "PBE-GGA", "state": "relaxed", "space_group": "No. 123", "e_tot_ev_per_atom": -5.983, "dos_at_fermi_per_ev_atom": 0.656, "raw_formation_energy_ev_per_atom": -0.51, "cell": [[5.1309, 0.0000, 0.0000], [0.0000, 5.1309, 0.0000], [0.0000, 0.0000, 3.7666]], "species": ["S", "S", "Ir", "Ba", "N"], "fractional_positions": [[0.0000, 0.5000, 0.0000], [0.5000, 0.0000, 0.0000], [0.0000, 0.0000, 0.0000], [0.5000, 0.5000, 0.5000], [0.0000, 0.0000, 0.5000]]}

---

{"formula": "BaIrS2N", "functional": "PBE-GGA", "state": "relaxed", "space_group": "No. 123", "e_tot_ev_per_atom": -3.403, "dos_at_fermi_per_ev_atom": 1.249, "raw_formation_energy_ev_per_atom": 2.07, "cell": [[5.7217, 0.0000, 0.0000], [0.0000, 5.7217, 0.0000], [0.0000, 0.0000, 4.5935]], "species": ["S", "S", "Ir", "Ba", "N"], "fractional_positions": [[0.0000, 0.5000, 0.0000], [0.5000, 0.0000, 0.0000], [0.5000, 0.5000, 0.5000], [0.0000, 0.0000, 0.0000], [0.0000, 0.0000, 0.5000]]}

---

{"formula": "Ba2IrSN", "functional": "PBE-GGA", "state": "relaxed", "space_group": "No. 123", "e_tot_ev_per_atom": -6.033, "dos_at_fermi_per_ev_atom": 0.597, "raw_formation_energy_ev_per_atom": -1.00, "cell": [[5.7633, 0.0000, 0.0000], [0.0000, 5.7633, 0.0000], [0.0000, 0.0000, 3.7901]], "species": ["S", "Ir", "Ba", "Ba", "N"], "fractional_positions": [[0.5000, 0.5000, 0.5000], [0.0000, 0.0000, 0.5000], [0.0000, 0.5000, 0.0000], [0.5000, 0.0000, 0.0000], [0.0000, 0.0000, 0.0000]]}

---

{"formula": "BaSbIrN2", "functional": "PBE-GGA", "state": "relaxed", "space_group": "No. 123", "e_tot_ev_per_atom": -5.094, "dos_at_fermi_per_ev_atom": 0.858, "raw_formation_energy_ev_per_atom": 1.22, "cell": [[4.0833, 0.0000, 0.0000], [0.0000, 6.7193, 0.0000], [0.0000, 0.0000, 4.0833]], "species": ["Sb", "Ir", "Ba", "N", "N"], "fractional_positions": [[0.5000, 0.5000, 0.5000], [0.0000, 0.0000, 0.0000], [0.0000, 0.5000, 0.0000], [0.0000, 0.0000, 0.5000], [0.5000, 0.0000, 0.0000]]}